Record 1
Compound: GaNi9Ge2
Source: the Alexandria database
Functional: GGA-PBE
Structure: optimized geometry

```
data_GaNi9Ge2
_cell_length_a 3.577
_cell_length_b 3.577
_cell_length_c 10.742
_cell_angle_alpha 90.00
_cell_angle_beta 90.00
_cell_angle_gamma 90.00
_space_group_name_H-M_alt 'P 4/m m m'
_space_group_IT_number 123
_space_group_name_Hall '-P 4 2'
loop_
_atom_site_label
_atom_site_fract_x
_atom_site_fract_y
_atom_site_fract_z
Ga1 0.000 0.000 0.000
Ni1 0.000 0.500 0.168
Ni2 0.000 0.500 0.500
Ni3 0.500 0.500 0.000
Ni4 0.500 0.500 0.335
Ge1 0.000 0.000 0.332
```

Properties
Calculated formation energy, eV per atom: -0.289
Magnetic moment, μB per atom: 0.0579

=====

Record 2
Compound: La2CdIr
Source: the Alexandria database
Functional: GGA-PBE
Structure: optimized geometry

```
data_La2CdIr
_cell_length_a 3.691
_cell_length_b 3.691
_cell_length_c 7.874
_cell_angle_alpha 90.00
_cell_angle_beta 90.00
_cell_angle_gamma 90.00
_space_group_name_H-M_alt 'P 4/m m m'
_space_group_IT_number 123
_space_group_name_Hall '-P 4 2'
loop_
_atom_site_label
_atom_site_fract_x
_atom_site_fract_y
_atom_site_fract_z
La1 0.000 0.000 0.213
Cd1 0.500 0.500 0.500
Ir1 0.500 0.500 0.000
```

Properties
Calculated formation energy, eV per atom: -0.509
Magnetic moment, μB per atom: 0.0000

=====

Record 3
Compound: GaSiSb
Source: the Alexandria database
Functional: GGA-PBE
Structure: optimized geometry

```
data_GaSiSb
_cell_length_a 10.032
_cell_length_b 3.543
_cell_length_c 9.544
_cell_angle_alpha 90.00
_cell_angle_beta 114.44
_cell_angle_gamma 90.00
_space_group_name_H-M_alt 'C 1 2/m 1'
_space_group_IT_number 12
loop_
_space_group_symop_operation_xyz
'x,y,z'
'-x,-y,-z'
'-x,y,-z'
'x,-y,z'
'x+1/2,y+1/2,z'
'-x+1/2,-y+1/2,-z'
'-x+1/2,y+1/2,-z'
'x+1/2,-y+1/2,z'
loop_
_atom_site_label
_atom_site_fract_x
_atom_site_fract_y
_atom_site_fract_z
Ga1 0.000 0.000 0.242
Si1 0.192 0.000 0.031
Sb1 0.194 0.500 0.663
```

Properties
Magnetic moment, μB per atom: 0.0000
Raw formation energy, eV/atom: 0.262

=====

Record 4
Compound: Na2MgSnS4
Source: the Alexandria database
Functional: GGA-PBE
Structure: optimized geometry

```
data_Na2MgSnS4
_cell_length_a 7.402
_cell_length_b 7.402
_cell_length_c 6.525
_cell_angle_alpha 90.00
_cell_angle_beta 90.00
_cell_angle_gamma 90.00
_space_group_name_H-M_alt 'I -4 2 m'
_space_group_IT_number 121
_space_group_name_Hall 'I -4 2'
loop_
_atom_site_label
_atom_site_fract_x
_atom_site_fract_y
_atom_site_fract_z
Na1 0.000 0.500 0.000
Mg1 0.000 0.000 0.000
Sn1 0.000 0.000 0.500
S1 0.177 0.177 0.260
```

Properties
Magnetic moment, μB per atom: 0.0000
Raw formation energy, eV/atom: -0.935

=====

Record 5
Compound: Pm2PrTlN
Source: the Alexandria database
Functional: GGA-PBE
Structure: optimized geometry

```
data_Pm2PrTlN
_cell_length_a 4.999
_cell_length_b 4.999
_cell_length_c 5.082
_cell_angle_alpha 90.00
_cell_angle_beta 90.00
_cell_angle_gamma 90.00
_space_group_name_H-M_alt 'P 4/m m m'
_space_group_IT_number 123
_space_group_name_Hall '-P 4 2'
loop_
_atom_site_label
_atom_site_fract_x
_atom_site_fract_y
_atom_site_fract_z
Pm1 0.000 0.500 0.000
Pr1 0.000 0.000 0.500
Tl1 0.500 0.500 0.500
N1 0.000 0.000 0.000
```

Properties
Magnetic moment, μB per atom: 0.0000
Raw formation energy, eV/atom: -0.823

=====

Record 6
Compound: CrSeBr
Source: the Alexandria database
Functional: GGA-PBE
Structure: optimized geometry

```
data_CrSeBr
_cell_length_a 3.241
_cell_length_b 3.241
_cell_length_c 13.377
_cell_angle_alpha 90.00
_cell_angle_beta 90.00
_cell_angle_gamma 90.00
_space_group_name_H-M_alt 'I 4 m m'
_space_group_IT_number 107
_space_group_name_Hall 'I 4 -2'
loop_
_atom_site_label
_atom_site_fract_x
_atom_site_fract_y
_atom_site_fract_z
Cr1 0.000 0.000 0.000
Se1 0.000 0.000 0.599
Br1 0.000 0.000 0.365
```

Properties
Magnetic moment, μB per atom: 0.9987
Raw formation energy, eV/atom: -0.170

=====

Record 7
Compound: Sm2TmTl
Source: the Alexandria database
Functional: GGA-PBE
Structure: optimized geometry

```
data_Sm2TmTl
_cell_length_a 3.6500
_cell_length_b 3.6500
_cell_length_c 32.8272
_cell_angle_alpha 90.00
_cell_angle_beta 90.00
_cell_angle_gamma 120.00
_space_group_name_H-M_alt 'R 3 m'
_space_group_IT_number 160
_space_group_name_Hall 'R 3 -2"'
loop_
_atom_site_label
_atom_site_fract_x
_atom_site_fract_y
_atom_site_fract_z
Sm1 0.0000 0.0000 0.0000
Sm2 0.0000 0.0000 0.1729
Tm1 0.0000 0.0000 0.4198
Tl1 0.0000 0.0000 0.5862
```

Properties
Calculated formation energy, eV per atom: -0.100
Magnetic moment, μB per atom: 0.1142
E above lowest polymorph, meV/atom: 66

=====

Record 8
Compound: Er6CoPb3
Source: the Alexandria database
Functional: GGA-PBE
Structure: optimized geometry

```
data_Er6CoPb3
_cell_length_a 11.719
_cell_length_b 14.397
_cell_length_c 7.247
_cell_angle_alpha 90.00
_cell_angle_beta 90.00
_cell_angle_gamma 90.00
_space_group_name_H-M_alt 'C m c 21'
_space_group_IT_number 36
loop_
_space_group_symop_operation_xyz
'x,y,z'
'-x,-y,z+1/2'
'-x,y,z'
'x,-y,z+1/2'
'x+1/2,y+1/2,z'
'-x+1/2,-y+1/2,z+1/2'
'-x+1/2,y+1/2,z'
'x+1/2,-y+1/2,z+1/2'
loop_
_atom_site_label
_atom_site_fract_x
_atom_site_fract_y
_atom_site_fract_z
Er1 0.000 0.012 0.000
Er2 0.000 0.238 0.548
Er3 0.147 0.240 0.093
Er4 0.158 0.466 0.553
Co1 0.000 0.135 0.260
Pb1 0.000 0.385 0.870
Pb2 0.185 0.111 0.745
```

Properties
Calculated formation energy, eV per atom: -0.128
Magnetic moment, μB per atom: 0.0000